## Ba4NaPr3Te8 (GGA-PBE)

Data for crystalline Ba4NaPr3Te8 at its relaxed geometry.

Unit cell a=9.4825 b=9.4825 c=23.5538 alpha=90.00 beta=90.00 gamma=120.00
Space group R-3m (No. 166, hexagonal axes)
One atom of each set of equivalent atoms:
Ba 0.0000 0.0000 0.0000 x3
Ba 0.0000 0.5000 0.0000 x9
Na 0.0000 0.0000 0.5000 x3
Pr 0.0000 0.5000 0.5000 x9
Te 0.0000 0.0000 0.2421 x6
Te 0.0037 0.5018 0.7582 x18

* magnetic moment: 0.00 μB/f.u.
* formation energy without anion corrections: -151 kJ per mole of atoms

=====

## Ba2Li3Bi4Au (GGA-PBE)

Data for crystalline Ba2Li3Bi4Au at its relaxed geometry.

Unit cell a=4.952 b=4.952 c=11.718 alpha=90.00 beta=90.00 gamma=90.00
Space group P-4m2 (No. 115)
One atom of each set of equivalent atoms:
Ba 0.000 0.500 0.238 x2
Li 0.000 0.000 0.000 x1
Li 0.000 0.500 0.631 x2
Bi 0.000 0.000 0.500 x1
Bi 0.000 0.500 0.868 x2
Bi 0.500 0.500 0.500 x1
Au 0.500 0.500 0.000 x1

* magnetic moment: 0.00 μB/f.u.
* formation enthalpy at 0 K: -6.465 eV/f.u.

=====

## KEr2Cu3Se5 (GGA-PBE)

Data for crystalline KEr2Cu3Se5 at its relaxed geometry.

Unit cell a=4.105 b=14.435 c=16.892 alpha=90.00 beta=90.00 gamma=90.00
Space group Cmcm (No. 63)
One atom of each set of equivalent atoms:
K 0.000 0.061 0.250 x4
Er 0.000 0.192 0.593 x8
Cu 0.000 0.339 0.250 x4
Cu 0.000 0.415 0.528 x8
Se 0.000 0.166 0.072 x8
Se 0.000 0.251 0.750 x4
Se 0.000 0.441 0.119 x8

* magnetic moment: 0.00 μB/f.u.
* formation energy without anion corrections: -108 kJ per mole of atoms

=====

## KBe2Tl (GGA-PBE)

Data for crystalline KBe2Tl at its relaxed geometry.

Unit cell a=3.171 b=3.171 c=8.195 alpha=90.00 beta=90.00 gamma=90.00
Space group P4mm (No. 99)
One atom of each set of equivalent atoms:
K 0.000 0.000 0.000 x1
Be 0.000 0.000 0.622 x1
Be 0.500 0.500 0.673 x1
Tl 0.500 0.500 0.352 x1

* magnetic moment: 0.00 μB/f.u.
* distance to the lowest polymorph of the same formula: 178.5 meV per atom
* formation enthalpy at 0 K: 2.290 eV/f.u.

=====

## In2CuHgS4 (GGA-PBE)

Data for crystalline In2CuHgS4 at its relaxed geometry.

Unit cell a=8.335 b=8.339 c=11.543 alpha=90.00 beta=90.00 gamma=90.00
Space group Fmm2 (No. 42)
One atom of each set of equivalent atoms:
In 0.250 0.250 0.000 x8
Cu 0.000 0.000 0.250 x4
Hg 0.000 0.000 0.750 x4
S 0.000 0.226 0.131 x8
S 0.226 0.000 0.369 x8

* magnetic moment: 0.00 μB/f.u.
* formation energy without anion corrections: -33 kJ per mole of atoms

=====

## In5Ag2Hg4 (GGA-PBE)

Data for crystalline In5Ag2Hg4 at its relaxed geometry.

Unit cell a=18.604 b=3.184 c=9.811 alpha=90.00 beta=105.11 gamma=90.00
Space group C2/m (No. 12)
One atom of each set of equivalent atoms:
In 0.000 0.000 0.000 x2
In 0.110 0.500 0.278 x4
In 0.155 0.500 0.953 x4
Ag 0.233 0.000 0.207 x4
Hg 0.042 0.500 0.660 x4
Hg 0.176 0.000 0.559 x4

* magnetic moment: 0.00 μB/f.u.
* formation enthalpy at 0 K: 0.452 eV/f.u.

=====

## Na4CaPd3O8 (GGA-PBE)

Data for crystalline Na4CaPd3O8 at its relaxed geometry.

Unit cell a=11.200 b=6.518 c=6.625 alpha=90.00 beta=125.82 gamma=90.00
Space group C2/m (No. 12)
One atom of each set of equivalent atoms:
Na 0.000 0.000 0.000 x2
Na 0.000 0.500 0.000 x2
Na 0.250 0.250 0.000 x4
Ca 0.000 0.000 0.500 x2
Pd 0.000 0.500 0.500 x2
Pd 0.250 0.250 0.500 x4
O 0.019 0.274 0.296 x8
O 0.227 0.500 0.731 x4
O 0.250 0.000 0.696 x4

* magnetic moment: 2.01 μB/f.u.
* formation energy without anion corrections: -114 kJ per mole of atoms

=====

## SbTe2Cl (GGA-PBE)

Data for crystalline SbTe2Cl at its relaxed geometry.

Unit cell a=5.855 b=12.212 c=3.185 alpha=90.00 beta=102.41 gamma=90.00
Space group C2/m (No. 12)
One atom of each set of equivalent atoms:
Sb 0.000 0.000 0.000 x2
Te 0.250 0.250 0.500 x4
Cl 0.000 0.500 0.000 x2

* magnetic moment: 0.00 μB/f.u.
* distance to the lowest polymorph of the same formula: 338.1 meV per atom
* formation energy without anion corrections: 8 kJ per mole of atoms

=====

## TlPI3 (GGA-PBE)

Data for crystalline TlPI3 at its relaxed geometry.

Unit cell a=5.642 b=5.642 c=5.642 alpha=90.00 beta=90.00 gamma=90.00
Space group Pm-3m (No. 221)
One atom of each set of equivalent atoms:
Tl 0.000 0.000 0.000 x1
P 0.500 0.500 0.500 x1
I 0.000 0.500 0.500 x3

* magnetic moment: 0.00 μB/f.u.
* distance to the lowest polymorph of the same formula: 138.3 meV per atom
* formation energy without anion corrections: -11 kJ per mole of atoms

=====

## K2NpSbSe4 (GGA-PBE)

Data for crystalline K2NpSbSe4 at its relaxed geometry.

Unit cell a=7.447 b=4.291 c=8.024 alpha=90.00 beta=107.92 gamma=90.00
Space group P2/m (No. 10)
One atom of each set of equivalent atoms:
K 0.000 0.000 0.000 x1
K 0.500 0.500 0.000 x1
Np 0.000 0.500 0.500 x1
Sb 0.500 0.000 0.500 x1
Se 0.234 0.000 0.705 x2
Se 0.265 0.500 0.294 x2

* magnetic moment: 3.97 μB/f.u.
* formation energy without anion corrections: -93 kJ per mole of atoms

=====

## NaThSn (GGA-PBE)

Data for crystalline NaThSn at its relaxed geometry.

Unit cell a=4.9636 b=4.9636 c=27.2820 alpha=90.00 beta=90.00 gamma=120.00
Space group R-3m (No. 166, hexagonal axes)
One atom of each set of equivalent atoms:
Na 0.0000 0.0000 0.1389 x6
Th 0.0000 0.0000 0.2931 x6
Sn 0.0000 0.0000 0.4225 x6

* magnetic moment: 0.49 μB/f.u.
* formation enthalpy at 0 K: -0.089 eV/f.u.

=====

## NdY3ErSc (GGA-PBE)

Data for crystalline NdY3ErSc at its relaxed geometry.

Unit cell a=4.973 b=14.967 c=10.022 alpha=90.00 beta=90.00 gamma=90.00
Space group Cmcm (No. 63)
One atom of each set of equivalent atoms:
Nd 0.000 0.003 0.250 x4
Y 0.000 0.167 0.001 x8
Y 0.000 0.331 0.250 x4
Er 0.000 0.500 0.000 x4
Sc 0.000 0.333 0.750 x4

* magnetic moment: 0.00 μB/f.u.
* formation enthalpy at 0 K: 0.255 eV/f.u.